[1]
## SiHgH2 (SCAN)

Data for SiHgH2 at its PBEsol-relaxed geometry.

Properties
E = -80.8 eV for the cell shown

Unit cell a=4.005 b=4.005 c=4.005 alpha=60.00 beta=60.00 gamma=60.00
Fractional positions:
Si  0.000  0.000  0.000
Hg  0.500  0.500  0.500
H  0.250  0.250  0.250
H  0.750  0.750  0.750


[2]
## CsZr3Tl (SCAN)

Data for CsZr3Tl at its PBEsol-relaxed geometry.

Properties
relative energy among the computed polymorphs = 3.18 eV per formula unit

Unit cell a=5.189 b=5.189 c=5.189 alpha=90.00 beta=90.00 gamma=90.00
Fractional positions:
Cs  0.000  0.000  0.000
Zr  0.000  0.000  0.500
Zr  0.000  0.500  0.000
Zr  0.500  0.000  0.000
Tl  0.500  0.500  0.500


[3]
## GaTeI7 (SCAN)

Data for GaTeI7 at its PBEsol-relaxed geometry.

Properties
raw formation energy = -279 meV/atom

Unit cell a=7.125 b=6.996 c=16.505 alpha=90.00 beta=102.35 gamma=90.00
Fractional positions:
Ga  0.000  0.014  0.000
Ga  0.000  0.986  0.500
Te  0.736  0.423  0.846
Te  0.736  0.577  0.346
I  0.026  0.349  0.511
I  0.026  0.651  0.011
I  0.104  0.135  0.868
I  0.104  0.865  0.368
I  0.225  0.161  0.128
I  0.225  0.839  0.628
I  0.437  0.342  0.363
I  0.437  0.658  0.863
I  0.512  0.175  0.734
I  0.512  0.825  0.234
I  0.662  0.143  0.998
I  0.662  0.857  0.498
I  0.889  0.369  0.234
I  0.889  0.631  0.734


[4]
## Mg2CoCu (SCAN)

Data for Mg2CoCu at its PBEsol-relaxed geometry.

Properties
E = -42.0 eV for the cell shown

Unit cell a=3.082 b=3.082 c=5.914 alpha=90.00 beta=90.00 gamma=90.00
Fractional positions:
Mg  0.000  0.000  0.238
Mg  0.000  0.000  0.762
Co  0.500  0.500  0.000
Cu  0.500  0.500  0.500


[5]
## LaSn2S2 (SCAN)

Data for LaSn2S2 at its PBEsol-relaxed geometry.

Properties
raw formation energy = -528 meV/atom

Unit cell a=5.863 b=5.863 c=5.863 alpha=125.51 beta=125.51 gamma=80.69
Fractional positions:
La  0.000  0.000  0.000
Sn  0.344  0.344  0.000
Sn  0.656  0.656  0.000
S  0.250  0.750  0.500
S  0.750  0.250  0.500


[6]
## Dy2Ge6Pd (SCAN)

Data for Dy2Ge6Pd at its PBEsol-relaxed geometry.

Properties
E = -994.9 eV for the cell shown

Unit cell a=5.691 b=5.691 c=21.332 alpha=90.00 beta=90.00 gamma=89.54
Fractional positions:
Dy  0.124  0.373  0.081
Dy  0.127  0.376  0.419
Dy  0.373  0.124  0.919
Dy  0.376  0.127  0.581
Dy  0.624  0.873  0.419
Dy  0.627  0.876  0.081
Dy  0.873  0.624  0.581
Dy  0.876  0.627  0.919
Ge  0.096  0.904  0.693
Ge  0.097  0.349  0.692
Ge  0.118  0.882  0.456
Ge  0.133  0.867  0.028
Ge  0.151  0.403  0.808
Ge  0.152  0.848  0.808
Ge  0.348  0.652  0.308
Ge  0.349  0.097  0.308
Ge  0.367  0.633  0.528
Ge  0.382  0.618  0.956
Ge  0.403  0.151  0.192
Ge  0.404  0.596  0.193
Ge  0.596  0.404  0.807
Ge  0.597  0.849  0.808
Ge  0.618  0.382  0.044
Ge  0.633  0.367  0.472
Ge  0.651  0.903  0.692
Ge  0.652  0.348  0.692
Ge  0.848  0.152  0.192
Ge  0.849  0.597  0.192
Ge  0.867  0.133  0.972
Ge  0.882  0.118  0.544
Ge  0.903  0.651  0.308
Ge  0.904  0.096  0.307
Pd  0.127  0.873  0.141
Pd  0.373  0.627  0.641
Pd  0.627  0.373  0.359
Pd  0.873  0.127  0.859


[7]
## InPt2Pb2 (SCAN)

Data for InPt2Pb2 at its PBEsol-relaxed geometry.

Properties
E = -325.0 eV for the cell shown

Unit cell a=6.597 b=6.597 c=6.597 alpha=139.31 beta=139.31 gamma=58.90
Fractional positions:
In  0.000  0.000  0.000
Pt  0.389  0.389  0.000
Pt  0.611  0.611  0.000
Pb  0.250  0.750  0.500
Pb  0.750  0.250  0.500


[8]
## TlAgOs2 (SCAN)

Data for TlAgOs2 at its PBEsol-relaxed geometry.

Properties
relative energy among the computed polymorphs = 2.23 eV per formula unit

Unit cell a=4.507 b=4.507 c=4.507 alpha=60.00 beta=60.00 gamma=60.00
Fractional positions:
Tl  0.000  0.000  0.000
Ag  0.500  0.500  0.500
Os  0.250  0.250  0.250
Os  0.750  0.750  0.750


DOS(E_F): 0.300; 0.647; 0.000; 0.315; 0.487; 0.211; 0.382; 0.643 (states/eV per atom)